DFT (PBE) results for crystalline Pm2Re2C3 at its relaxed geometry.

Summary:
Energy of formation from the pure elements = -0.229 eV per atom
DOS(E_F) = 3.2 states/eV/cell
Magnetic moment = 0.0 μB per formula unit
Volume = 107 Å³ per cell

abc: 6.2580 6.2580 5.8301
angles: 114.93 114.93 31.49
Closest atoms and distances in Å follow each position.
Positions (direct):
Pm 0.1065 0.1065 0.3121  5 C 2.48-2.64
Pm 0.8935 0.8935 0.6879  5 C 2.48-2.64
Re 0.3405 0.3405 0.1811  4 C 2.01-2.13
Re 0.6595 0.6595 0.8189  4 C 2.01-2.13
C 0.2489 0.2489 0.7740  3 Re 2.09-2.13
C 0.5000 0.5000 0.5000  2 Re 2.01
C 0.7511 0.7511 0.2260  3 Re 2.09-2.13

***

DFT (PBE) results for crystalline PmRe2Si2C at its relaxed geometry.

Summary:
DOS(E_F) = 5.0 states/eV/cell
Magnetic moment = 0.0 μB per formula unit
Volume = 93 Å³ per cell
ΔE_f (raw) = -361 meV per atom

abc: 4.1745 4.1745 5.3274
angles: 90.00 90.00 90.00
Closest atoms and distances in Å follow each position.
Positions (direct):
Pm 0.0000 0.0000 0.0000  2 C 2.66
Re 0.0000 0.5000 0.5000  2 C 2.09
Re 0.5000 0.0000 0.5000  2 C 2.09
Si 0.5000 0.5000 0.2216  1 Si 2.36, 4 Re 2.56
Si 0.5000 0.5000 0.7784  1 Si 2.36, 4 Re 2.56
C 0.0000 0.0000 0.5000  4 Re 2.09

***

DFT (PBE) results for crystalline PmZr2ReC4 at its relaxed geometry.

Summary:
Energy of formation from the pure elements = -0.310 eV per atom
DOS(E_F) = 7.1 states/eV/cell
Magnetic moment = 0.0 μB per formula unit
Volume = 233 Å³ per cell

abc: 6.1499 6.1499 11.6679
angles: 90.00 90.00 148.17
Closest atoms and distances in Å follow each position.
Positions (direct):
Pm 0.0983 0.9017 0.7500  6 C 2.61-2.82
Pm 0.9017 0.0983 0.2500  6 C 2.61-2.82
Zr 0.3701 0.6299 0.5384  5 C 2.23-2.48
Zr 0.3701 0.6299 0.9616  5 C 2.23-2.48
Zr 0.6299 0.3701 0.0384  5 C 2.23-2.48
Zr 0.6299 0.3701 0.4616  5 C 2.23-2.48
Re 0.1642 0.8358 0.2500  4 C 1.92-2.02
Re 0.8358 0.1642 0.7500  4 C 1.92-2.02
C 0.0000 0.0000 0.0000  4 Zr 2.33
C 0.0000 0.0000 0.5000  4 Zr 2.33
C 0.2615 0.7385 0.1180  1 Re 1.92
C 0.2615 0.7385 0.3820  1 Re 1.92
C 0.4304 0.5696 0.7500  2 Re 2.02
C 0.5696 0.4304 0.2500  2 Re 2.02
C 0.7385 0.2615 0.6180  1 Re 1.92
C 0.7385 0.2615 0.8820  1 Re 1.92

***

DFT (PBE) results for crystalline Pm4Rh2C at its relaxed geometry.

Summary:
Energy of formation from the pure elements = -0.216 eV per atom
DOS(E_F) = 6.5 states/eV/cell
Magnetic moment = 0.0 μB per formula unit
Volume = 173 Å³ per cell

abc: 7.9692 7.9692 7.9692
angles: 144.08 144.08 51.70
Closest atoms and distances in Å follow each position.
Positions (direct):
Pm 0.0000 0.5000 0.5000  2 C 2.46
Pm 0.1813 0.1813 0.0000  1 C 2.60, 1 Rh 2.70
Pm 0.5000 0.0000 0.5000  2 C 2.46
Pm 0.8187 0.8187 0.0000  1 C 2.60, 1 Rh 2.70
Rh 0.3696 0.3696 0.0000  1 Pm 2.70
Rh 0.6304 0.6304 0.0000  1 Pm 2.70
C 0.0000 0.0000 0.0000  6 Pm 2.46-2.60

***

DFT (PBE) results for crystalline PmRhC at its relaxed geometry.

Summary:
Energy of formation from the pure elements = 0.156 eV per atom
DOS(E_F) = 5.4 states/eV/cell
Magnetic moment = 0.0 μB per formula unit
Volume = 106 Å³ per cell

abc: 5.5316 3.6736 5.9101
angles: 90.00 117.84 90.00
Closest atoms and distances in Å follow each position.
Positions (direct):
Pm 0.1418 0.0000 0.2835  4 C 2.71-2.72, 1 Pm 2.96, 2 Rh 3.01
Pm 0.8582 0.0000 0.7165  4 C 2.71-2.72, 1 Pm 2.96, 2 Rh 3.01
Rh 0.3698 0.5000 0.7391  2 C 1.97
Rh 0.6302 0.5000 0.2609  2 C 1.97
C 0.2429 0.5000 0.9999  2 Rh 1.97
C 0.7571 0.5000 0.0001  2 Rh 1.97

***

DFT (PBE) results for crystalline PmRhC at its relaxed geometry.

Summary:
Energy of formation from the pure elements = -0.201 eV per atom
DOS(E_F) = 3.7 states/eV/cell
Magnetic moment = 0.0 μB per formula unit
Volume = 214 Å³ per cell

abc: 10.9523 3.3925 5.7473
angles: 90.00 90.00 90.00
Closest atoms and distances in Å follow each position.
Positions (direct):
Pm 0.1656 0.2500 0.0960  3 C 2.55-2.60
Pm 0.3344 0.7500 0.5960  3 C 2.55-2.60
Pm 0.6656 0.2500 0.4040  3 C 2.55-2.60
Pm 0.8344 0.7500 0.9040  3 C 2.55-2.60
Rh 0.0791 0.2500 0.5988  3 C 2.04-2.14
Rh 0.4209 0.7500 0.0988  3 C 2.04-2.14
Rh 0.5791 0.2500 0.9012  3 C 2.04-2.14
Rh 0.9209 0.7500 0.4012  3 C 2.04-2.14
C 0.1165 0.7500 0.4149  3 Rh 2.04-2.14
C 0.3835 0.2500 0.9149  3 Rh 2.04-2.14
C 0.6165 0.7500 0.0851  3 Rh 2.04-2.14
C 0.8835 0.2500 0.5851  3 Rh 2.04-2.14

***

DFT (PBE) results for crystalline Pm6Rh2C at its relaxed geometry.

Summary:
Energy of formation from the pure elements = -0.401 eV per atom
DOS(E_F) = 17.7 states/eV/cell
Magnetic moment = 0.0 μB per formula unit
Volume = 476 Å³ per cell

abc: 6.6602 7.2914 11.7095
angles: 90.00 123.21 90.00
Closest atoms and distances in Å follow each position.
Positions (direct):
Pm 0.1147 0.0454 0.2418  1 C 2.52
Pm 0.1147 0.4546 0.7418  1 C 2.52
Pm 0.2360 0.6936 0.0641  1 C 2.59
Pm 0.2360 0.8064 0.5641  1 C 2.59
Pm 0.3730 0.1716 0.0609  1 C 2.51
Pm 0.3730 0.3284 0.5609  1 C 2.51
Pm 0.6270 0.6716 0.4391  1 C 2.51
Pm 0.6270 0.8284 0.9391  1 C 2.51
Pm 0.7640 0.1936 0.4359  1 C 2.59
Pm 0.7640 0.3064 0.9359  1 C 2.59
Pm 0.8853 0.5454 0.2582  1 C 2.52
Pm 0.8853 0.9546 0.7582  1 C 2.52
Rh 0.2983 0.0988 0.7557  6 Pm 2.83-3.08
Rh 0.2983 0.4012 0.2557  6 Pm 2.83-3.08
Rh 0.7017 0.5988 0.7443  6 Pm 2.83-3.08
Rh 0.7017 0.9012 0.2443  6 Pm 2.83-3.08
C 0.0000 0.0000 0.0000  6 Pm 2.51-2.59
C 0.0000 0.5000 0.5000  6 Pm 2.51-2.59

***

DFT (PBE) results for crystalline PmRhC at its relaxed geometry.

Summary:
Energy of formation from the pure elements = -0.121 eV per atom
DOS(E_F) = 1.4 states/eV/cell
Magnetic moment = 0.0 μB per formula unit
Volume = 50 Å³ per cell

abc: 3.3727 3.3727 5.0830
angles: 90.00 90.00 120.00
Closest atoms and distances in Å follow each position.
Positions (direct):
Pm 0.0000 0.0000 0.0000  3 C 2.56
Rh 0.6667 0.3333 0.4670  3 C 2.07
C 0.3333 0.6667 0.3278  3 Rh 2.07

***

DFT (PBE) results for crystalline PmRhC2 at its relaxed geometry.

Summary:
Energy of formation from the pure elements = -0.290 eV per atom
DOS(E_F) = 0.9 states/eV/cell
Magnetic moment = 0.0 μB per formula unit
Volume = 57 Å³ per cell

abc: 3.6901 4.0556 4.0556
angles: 71.24 90.00 90.00
Closest atoms and distances in Å follow each position.
Positions (direct):
Pm 0.0000 0.0000 0.0000  8 C 2.79-2.85, 6 Rh 3.09-3.11
Rh 0.5000 0.3751 0.3751  4 C 2.09-2.16
C 0.5000 0.5438 0.8298  1 C 1.35
C 0.5000 0.8298 0.5438  1 C 1.35

***

DFT (PBE) results for crystalline Pm12Rh6C at its relaxed geometry.

Summary:
Energy of formation from the pure elements = -0.470 eV per atom
DOS(E_F) = 11.0 states/eV/cell
Magnetic moment = 0.0 μB per formula unit
Volume = 530 Å³ per cell

abc: 8.2146 8.2146 8.2146
angles: 99.23 99.23 99.23
Closest atoms and distances in Å follow each position.
Positions (direct):
Pm 0.0421 0.9261 0.6925  1 C 2.59, 1 Rh 2.90
Pm 0.0739 0.3075 0.9579  1 C 2.59, 1 Rh 2.90
Pm 0.1759 0.5848 0.4185  4 Rh 2.75-3.06
Pm 0.3075 0.9579 0.0739  1 C 2.59, 1 Rh 2.90
Pm 0.4152 0.5815 0.8241  4 Rh 2.75-3.06
Pm 0.4185 0.1759 0.5848  4 Rh 2.75-3.06
Pm 0.5815 0.8241 0.4152  4 Rh 2.75-3.06
Pm 0.5848 0.4185 0.1759  4 Rh 2.75-3.06
Pm 0.6925 0.0421 0.9261  1 C 2.59, 1 Rh 2.90
Pm 0.8241 0.4152 0.5815  4 Rh 2.75-3.06
Pm 0.9261 0.6925 0.0421  1 C 2.59, 1 Rh 2.90
Pm 0.9579 0.0739 0.3075  1 C 2.59, 1 Rh 2.90
Rh 0.1320 0.3014 0.6184  6 Pm 2.75-3.06
Rh 0.3014 0.6184 0.1320  6 Pm 2.75-3.06
Rh 0.3816 0.8680 0.6986  6 Pm 2.75-3.06
Rh 0.6184 0.1320 0.3014  6 Pm 2.75-3.06
Rh 0.6986 0.3816 0.8680  6 Pm 2.75-3.06
Rh 0.8680 0.6986 0.3816  6 Pm 2.75-3.06
C 0.0000 0.0000 0.0000  6 Pm 2.59

***

DFT (PBE) results for crystalline PmRh3C at its relaxed geometry.

Summary:
Energy of formation from the pure elements = -0.422 eV per atom
DOS(E_F) = 1.3 states/eV/cell
Magnetic moment = 0.0 μB per formula unit
Volume = 75 Å³ per cell

abc: 4.2260 4.2260 4.2260
angles: 90.00 90.00 90.00
Closest atoms and distances in Å follow each position.
Positions (direct):
Pm 0.0000 0.0000 0.0000  12 Rh 2.99
Rh 0.0000 0.5000 0.5000  2 C 2.11
Rh 0.5000 0.0000 0.5000  2 C 2.11
Rh 0.5000 0.5000 0.0000  2 C 2.11
C 0.5000 0.5000 0.5000  6 Rh 2.11

***

DFT (PBE) results for crystalline Pm6RhC2 at its relaxed geometry.

Summary:
Energy of formation from the pure elements = -0.163 eV per atom
DOS(E_F) = 6.7 states/eV/cell
Magnetic moment = 0.0 μB per formula unit
Volume = 239 Å³ per cell

abc: 6.5652 6.5652 8.4706
angles: 112.79 112.79 46.30
Closest atoms and distances in Å follow each position.
Positions (direct):
Pm 0.0143 0.0143 0.1943  2 C 2.56-2.68, 1 Rh 2.67
Pm 0.3026 0.3026 0.9042  3 C 2.55-2.58
Pm 0.3446 0.3446 0.4041  1 C 2.45
Pm 0.6554 0.6554 0.5959  1 C 2.45
Pm 0.6974 0.6974 0.0958  3 C 2.55-2.58
Pm 0.9857 0.9857 0.8057  2 C 2.56-2.68, 1 Rh 2.67
Rh 0.0000 0.0000 0.5000  2 Pm 2.67
C 0.1910 0.1910 0.1019  6 Pm 2.45-2.68
C 0.8090 0.8090 0.8981  6 Pm 2.45-2.68